PmSm2TmTe5: relaxed, GGA-PBE.

Unit cell a=5.4822 b=5.4822 c=11.7141 alpha=90.00 beta=90.00 gamma=90.00
Site moments in Bohr magnetons follow the coordinates.
Fractional coordinates of all 9 atoms:
Te (0.5000, 0.5000, 0.0000)  0.01
Te (0.5000, 0.0000, 0.5000)  0.00
Te (0.0000, 0.0000, 0.2503)  0.00
Te (0.0000, 0.0000, 0.7497)  0.00
Te (0.0000, 0.5000, 0.5000)  0.00
Tm (0.0000, 0.0000, 0.5000)  0.02
Sm (0.5000, 0.5000, 0.3444)  0.14
Sm (0.5000, 0.5000, 0.6556)  0.14
Pm (0.0000, 0.0000, 0.0000)  0.01

Properties
theoretical density = 5.91 g/cm3
M_tot = 0.566 μB per cell
N(E_F) = 4.9 states/eV per cell
E_form (uncorrected) = -0.79 eV/atom

PmSm2Tm3Te6: relaxed, GGA-PBE.

Unit cell a=4.3188 b=8.8797 c=9.8634 alpha=105.08 beta=102.65 gamma=90.00
Fractional coordinates of all 12 atoms:
Te (0.0028, 0.7416, 0.0057)
Te (0.6702, 0.0756, 0.3405)
Te (0.3298, 0.9244, 0.6595)
Te (0.9972, 0.2584, 0.9943)
Te (0.3359, 0.4104, 0.6718)
Te (0.6641, 0.5896, 0.3282)
Pm (0.5000, 0.0000, 0.0000)
Tm (0.5000, 0.5000, 0.0000)
Tm (0.1660, 0.8323, 0.3320)
Tm (0.8340, 0.1677, 0.6680)
Sm (0.1660, 0.3314, 0.3320)
Sm (0.8340, 0.6686, 0.6680)

Properties
theoretical density = 8.02 g/cm3
M_tot = 0.000 μB per cell
N(E_F) = 5.7 states/eV per cell
E_form (uncorrected) = -1.29 eV/atom

Pm3SmTm3Te8: relaxed, GGA-PBE.

Unit cell a=8.7295 b=8.7295 c=8.7533 alpha=119.91 beta=90.00 gamma=120.00
Fractional coordinates of all 15 atoms:
Te (0.7331, 0.9909, 0.7489)
Te (0.7456, 0.4912, 0.7367)
Te (0.7421, 0.4842, 0.2512)
Te (0.7421, 0.0091, 0.2511)
Te (0.2579, 0.5158, 0.7488)
Te (0.2544, 0.5088, 0.2633)
Te (0.2579, 0.9909, 0.7489)
Te (0.2669, 0.0091, 0.2511)
Tm (0.5000, 0.5000, 0.5000)
Tm (0.0000, 0.5000, 0.5000)
Tm (0.5000, 0.0000, 0.5000)
Pm (0.5000, 0.5000, 0.0000)
Pm (0.0000, 0.0000, 0.0000)
Pm (0.0000, 0.5000, 0.0000)
Sm (0.0000, 0.0000, 0.5000)

Properties
theoretical density = 7.43 g/cm3
M_tot = 0.000 μB per cell
N(E_F) = 6.9 states/eV per cell
E_form (uncorrected) = -1.38 eV/atom

PmSm3Tm2Te6: relaxed, GGA-PBE.

Unit cell a=4.3608 b=8.8802 c=9.8565 alpha=103.20 beta=102.78 gamma=90.00
Fractional coordinates of all 12 atoms:
Tm (0.8356, 0.6705, 0.6712)
Tm (0.1644, 0.3295, 0.3288)
Sm (0.1601, 0.8324, 0.3202)
Sm (0.5000, 0.5000, 0.0000)
Sm (0.8399, 0.1676, 0.6798)
Te (0.3297, 0.9066, 0.6594)
Te (0.9949, 0.7459, 0.9897)
Te (0.3294, 0.4232, 0.6587)
Te (0.6706, 0.5768, 0.3413)
Te (0.0051, 0.2541, 0.0103)
Te (0.6703, 0.0934, 0.3406)
Pm (0.5000, 0.0000, 0.0000)

Properties
theoretical density = 7.80 g/cm3
M_tot = 0.000 μB per cell
N(E_F) = 6.8 states/eV per cell
E_form (uncorrected) = -1.32 eV/atom